Entry 1:
## HoInRh (PBE)

Data for an optimized crystal structure of HoInRh.

For the size of the total moment, the calculation gives 0.0 μB/f.u. The value obtained for the formation energy is -0.60 eV/atom. The calculated volume comes out at 63.2 Å³/f.u. The calculation puts the density of states at the Fermi level at 0.72 states/eV per atom.

Cell and atoms, written as POSCAR:
```
HoInRh
1.0
3.403 0.000 0.000
0.000 3.403 0.000
-1.702 -1.702 5.456
Rh Ho In
1 1 1
Direct
0.946 0.946 0.891
0.598 0.598 0.195
0.307 0.307 0.614
```



Entry 2:
## Sm2CdRe (PBE)

Data for an optimized crystal structure of Sm2CdRe.

For the size of the total moment, the calculation gives 0.0 μB/f.u. The value obtained for the formation energy is 0.03 eV/atom. The relative energy among the computed polymorphs is 0 meV/atom. The calculated volume comes out at 99.6 Å³/f.u. The calculation puts the density of states at the Fermi level at 1.18 states/eV per atom.

Cell and atoms, written as POSCAR:
```
Sm2CdRe
1.0
-1.644 -0.283 3.126
2.503 -2.248 1.113
4.238 6.096 2.781
Re Sm Cd
1 2 1
Direct
0.500 0.500 0.000
0.000 0.000 0.788
0.000 0.000 0.212
0.500 0.500 0.500
```



Entry 3:
## Mn4WAu (PBE)

Data for an optimized crystal structure of Mn4WAu.

For the size of the total moment, the calculation gives 3.1 μB/f.u. The value obtained for the formation energy is 0.13 eV/atom. The calculated volume comes out at 76.6 Å³/f.u. The calculation puts the density of states at the Fermi level at 1.06 states/eV per atom.

Cell and atoms, written as POSCAR:
```
Mn4WAu
1.0
4.451 -1.680 0.297
2.717 1.101 3.759
1.076 -3.342 3.224
Mn W Au
4 1 1
Direct
0.878 0.374 0.374
0.374 0.374 0.878
0.374 0.878 0.374
0.374 0.374 0.374
0.750 0.750 0.750
0.000 0.000 0.000
```



Entry 4:
## PrEr4Tl2 (PBE)

Data for an optimized crystal structure of PrEr4Tl2.

For the size of the total moment, the calculation gives 0.0 μB/f.u. The value obtained for the formation energy is -0.13 eV/atom. The calculated volume comes out at 216.7 Å³/f.u. The calculation puts the density of states at the Fermi level at 1.23 states/eV per atom.

Cell and atoms, written as POSCAR:
```
PrEr4Tl2
1.0
-4.884 -0.040 -1.140
0.653 -8.935 -2.480
-2.012 -2.564 8.706
Pr Er Tl
2 8 4
Direct
0.500 0.000 0.000
0.000 0.500 0.500
0.000 0.103 0.354
0.000 0.897 0.646
0.500 0.146 0.603
0.500 0.854 0.397
0.500 0.397 0.854
0.500 0.603 0.146
0.000 0.354 0.103
0.000 0.646 0.897
0.000 0.196 0.804
0.000 0.804 0.196
0.500 0.696 0.696
0.500 0.304 0.304
```



Entry 5:
## K2RbAg2Br7 (PBE)

Data for an optimized crystal structure of K2RbAg2Br7.

The value obtained for the formation energy without anion corrections is -0.99 eV/atom. For the size of the total moment, the calculation gives 0.0 μB/f.u. The calculated volume comes out at 401.8 Å³/f.u. The calculation puts the density of states at the Fermi level at 0.29 states/eV per atom.

Cell and atoms, written as POSCAR:
```
K2RbAg2Br7
1.0
5.448 -0.003 0.019
0.004 5.448 0.019
2.689 2.686 13.558
K Rb Ag Br
2 1 2 7
Direct
0.819 0.819 0.357
0.181 0.181 0.643
0.000 0.000 0.000
0.600 0.600 0.800
0.400 0.400 0.200
0.500 0.500 0.000
0.301 0.301 0.399
0.699 0.699 0.601
0.903 0.403 0.193
0.403 0.903 0.193
0.597 0.097 0.807
0.097 0.597 0.807
```



Entry 6:
## BaCoTe2 (PBE)

Data for an optimized crystal structure of BaCoTe2.

The value obtained for the formation energy without anion corrections is 0.15 eV/atom. For the size of the total moment, the calculation gives 2.3 μB/f.u. The calculated volume comes out at 120.1 Å³/f.u. The calculation puts the density of states at the Fermi level at 1.41 states/eV per atom.

Cell and atoms, written as POSCAR:
```
BaCoTe2
1.0
-2.272 5.005 -0.676
-5.106 1.003 1.896
-0.728 3.324 4.369
Ba Co Te
1 1 2
Direct
0.500 0.500 0.500
0.750 0.750 0.750
0.000 0.000 0.000
0.250 0.250 0.250
```